(1)
Cs3TlNi: optimized geometry, GGA-PBE.

a b c (Å): 6.5595 6.5595 6.5595
angles (deg): 90.00 90.00 90.00
With the nearest neighbours (Å) after each atom.
Space group Pm-3m (No. 221)
Inequivalent atoms, fractional coordinates:
1 Cs 0.0000 0.0000 0.5000 x3  2 Ni 3.28
2 Tl 0.5000 0.5000 0.5000 x1  12 Cs 4.64
3 Ni 0.0000 0.0000 0.0000 x1  6 Cs 3.28

Properties
M_tot = 0.003 μB per formula unit
Excess energy over the best structure of this formula in the dataset = 0 meV per atom
Energy of formation from the pure elements = 514 meV per atom

=====

(2)
CsTl2Ni2: optimized geometry, GGA-PBE.

a b c (Å): 8.4128 8.4128 3.3230
angles (deg): 90.00 90.00 90.00
With the nearest neighbours (Å) after each atom.
Space group P4/mbm (No. 127)
Inequivalent atoms, fractional coordinates:
1 Cs 0.0000 0.0000 0.0000 x2  4 Ni 3.28, 2 Cs 3.32, 8 Tl 3.66
2 Tl 0.1379 0.3621 0.5000 x4  4 Ni 2.83
3 Ni 0.1341 0.6341 0.0000 x4  4 Tl 2.83

Properties
M_tot = 0.000 μB per formula unit
Excess energy over the best structure of this formula in the dataset = 170 meV per atom
Energy of formation from the pure elements = 468 meV per atom

=====

(3)
CsTlNi2: optimized geometry, GGA-PBE.

a b c (Å): 7.9223 7.9223 7.2138
angles (deg): 90.00 90.00 90.00
With the nearest neighbours (Å) after each atom.
Space group I-42d (No. 122)
Inequivalent atoms, fractional coordinates:
1 Cs 0.0000 0.0000 0.0000 x4  8 Ni 3.43-3.60, 2 Tl 3.61
2 Tl 0.0000 0.0000 0.5000 x4  4 Ni 2.54
3 Ni 0.1656 0.7500 0.6250 x8  2 Tl 2.54

Properties
M_tot = 0.000 μB per formula unit
Excess energy over the best structure of this formula in the dataset = 0 meV per atom
Energy of formation from the pure elements = 865 meV per atom

=====

(4)
CsTl2Ni2: optimized geometry, GGA-PBE.

a b c (Å): 4.9067 4.9067 12.7755
angles (deg): 90.00 90.00 90.00
With the nearest neighbours (Å) after each atom.
Space group I4/mmm (No. 139)
Inequivalent atoms, fractional coordinates:
1 Cs 0.0000 0.0000 0.0000 x2  10 Tl 4.02-4.20, 8 Ni 4.03
2 Tl 0.0000 0.0000 0.3150 x4  4 Ni 2.59
3 Ni 0.0000 0.5000 0.2500 x4  4 Tl 2.59

Properties
M_tot = 0.000 μB per formula unit
Excess energy over the best structure of this formula in the dataset = 0 meV per atom
Energy of formation from the pure elements = 298 meV per atom